[1]
Density functional theory data (PBE) for crystalline OsAu at its relaxed geometry.

It has space group Pnma (No. 62), with a = 4.808 Å, b = 4.718 Å, c = 5.639 Å, α = 90.00°, β = 90.00° and γ = 90.00°. The inequivalent atoms are Os at (0.075, 0.250, 0.136) and Au at (0.096, 0.250, 0.631).

The energy above the most stable polymorph in this dataset is 0.90 eV/f.u. Its formation enthalpy at 0 K is 0.74 eV per atom. Its magnetic moment is 0.000 μB per formula unit.

***

[2]
Density functional theory data (PBE) for crystalline TiSiAs2Br at its relaxed geometry.

It has space group P4/mmm (No. 123), with a = 4.976 Å, b = 4.976 Å, c = 4.915 Å, α = 90.00°, β = 90.00° and γ = 90.00°. The inequivalent atoms are Ti at (0.000, 0.000, 0.000), Si at (0.500, 0.500, 0.500), As at (0.000, 0.500, 0.000) and Br at (0.000, 0.000, 0.500).

The energy above the most stable polymorph in this dataset is 0.00 eV/f.u. The energy relative to the elements, uncorrected is 0.35 eV/atom. Its magnetic moment is 0.000 μB per formula unit.

***

[3]
Density functional theory data (PBE) for crystalline InCo4Te at its relaxed geometry.

It has space group F-43m (No. 216), with a = 7.091 Å, b = 7.091 Å, c = 7.091 Å, α = 90.00°, β = 90.00° and γ = 90.00°. The inequivalent atoms are In at (0.000, 0.000, 0.000), Co at (0.125, 0.125, 0.375) and Te at (0.250, 0.250, 0.750).

The energy relative to the elements, uncorrected is 0.32 eV/atom. Its magnetic moment is 6.326 μB per formula unit.

***

[4]
Density functional theory data (PBE) for crystalline Pr6CBr3N2 at its relaxed geometry.

It has space group C2/m (No. 12), with a = 6.562 Å, b = 11.366 Å, c = 7.773 Å, α = 90.00°, β = 106.35° and γ = 90.00°. The inequivalent atoms are Pr at (0.224, 0.000, 0.180), Pr at (0.228, 0.332, 0.180), C at (0.000, 0.500, 0.000), Br at (0.000, 0.000, 0.500), Br at (0.000, 0.335, 0.500) and N at (0.000, 0.167, 0.000).

The energy relative to the elements, uncorrected is -1.23 eV/atom. Its magnetic moment is 0.000 μB per formula unit.